Entry from the Alexandria database: a relaxed structure of Pa2Ni4Ge3Pd (PBE).

Lattice parameters (Å, degrees): 3.9092 3.9092 10.5444 90.00 90.00 90.00
Atoms (fractional coordinates):
Pa: 0.0000 0.5000 0.2472
Pa: 0.5000 0.0000 0.7528
Ni: 0.0000 0.0000 0.5000
Ni: 0.0000 0.5000 0.8426
Ni: 0.5000 0.0000 0.1574
Ni: 0.5000 0.5000 0.5000
Ge: 0.0000 0.0000 0.0000
Ge: 0.0000 0.5000 0.6231
Ge: 0.5000 0.0000 0.3769
Pd: 0.5000 0.5000 0.0000

Its uncorrected energy is -6.6700 eV/atom. For the energy relative to the elements, the calculation gives -0.55 eV/atom.